1.
This record from the Alexandria database describes an optimized crystal structure of K3Dy3CrTe8. The functional is PBE.

Cell: 9.924 9.924 9.924 Å, 51.42 51.42 51.42°
Sites, in units of the cell vectors:
K (0.000, 0.500, 0.500)
K (0.500, 0.000, 0.500)
K (0.500, 0.500, 0.000)
Dy (0.000, 0.000, 0.500)
Dy (0.000, 0.500, 0.000)
Dy (0.500, 0.000, 0.000)
Cr (0.500, 0.500, 0.500)
Te (0.237, 0.237, 0.237)
Te (0.258, 0.718, 0.718)
Te (0.282, 0.282, 0.742)
Te (0.282, 0.742, 0.282)
Te (0.718, 0.258, 0.718)
Te (0.718, 0.718, 0.258)
Te (0.742, 0.282, 0.282)
Te (0.763, 0.763, 0.763)

Properties
The density of states at the Fermi level comes out at 0.28 states/eV per atom. The space-group type is R-3m (166). For the total magnetic moment, the calculation gives 0.182 μB per atom. As for the total energy: -68.164 eV/cell. The uncorrected formation energy comes out at -1.087 eV per atom.



2.
This record from the Alexandria database describes an optimized crystal structure of HfNbB. The functional is PBE.

Cell: 8.214 4.025 5.775 Å, 90.00 90.00 90.00°
Sites, in units of the cell vectors:
Hf (0.130, 0.250, 0.021)
Hf (0.370, 0.750, 0.521)
Hf (0.630, 0.250, 0.479)
Hf (0.870, 0.750, 0.979)
Nb (0.118, 0.250, 0.520)
Nb (0.382, 0.750, 0.020)
Nb (0.618, 0.250, 0.980)
Nb (0.882, 0.750, 0.480)
B (0.127, 0.750, 0.262)
B (0.373, 0.250, 0.762)
B (0.627, 0.750, 0.238)
B (0.873, 0.250, 0.738)

Properties
The density of states at the Fermi level comes out at 0.69 states/eV per atom. The energy of formation is -0.14 eV/atom. The space-group type is Pnma (62). For the total magnetic moment, the calculation gives 0.000 μB per atom. As for the total energy: -108.493 eV/cell.



3.
This record from the Alexandria database describes an optimized crystal structure of P2RuSe. The functional is PBE.

Cell: 7.767 7.767 7.767 Å, 158.63 156.72 31.81°
Sites, in units of the cell vectors:
P (0.000, 0.000, 0.000)
P (0.707, 0.207, 0.500)
Ru (0.579, 0.579, 0.000)
Se (0.325, 0.825, 0.500)

Properties
The density of states at the Fermi level comes out at 0.74 states/eV per atom. The space-group type is Imm2 (44). For the total magnetic moment, the calculation gives 0.000 μB per atom. As for the total energy: -22.928 eV/cell. The uncorrected formation energy comes out at 0.163 eV per atom.



4.
This record from the Alexandria database describes an optimized crystal structure of TmPdAu3. The functional is PBE.

Cell: 5.820 5.020 13.087 Å, 90.00 90.00 90.00°
Sites, in units of the cell vectors:
Tm (0.250, 0.250, 0.052)
Tm (0.250, 0.750, 0.552)
Tm (0.750, 0.250, 0.448)
Tm (0.750, 0.750, 0.948)
Pd (0.004, 0.250, 0.634)
Pd (0.496, 0.750, 0.134)
Pd (0.504, 0.250, 0.866)
Pd (0.996, 0.750, 0.366)
Au (0.005, 0.750, 0.749)
Au (0.010, 0.750, 0.141)
Au (0.246, 0.250, 0.435)
Au (0.254, 0.750, 0.935)
Au (0.490, 0.250, 0.641)
Au (0.495, 0.250, 0.249)
Au (0.505, 0.750, 0.751)
Au (0.510, 0.750, 0.359)
Au (0.746, 0.250, 0.065)
Au (0.754, 0.750, 0.565)
Au (0.990, 0.250, 0.859)
Au (0.995, 0.250, 0.251)

Properties
The density of states at the Fermi level comes out at 0.36 states/eV per atom. The energy of formation is -0.57 eV/atom. The space-group type is Pnma (62). For the total magnetic moment, the calculation gives 0.000 μB per atom. As for the total energy: -89.472 eV/cell.



5.
This record from the Alexandria database describes an optimized crystal structure of SrLa2Ni. The functional is PBE.

Cell: 5.489 5.489 5.489 Å, 60.00 60.00 60.00°
Sites, in units of the cell vectors:
Sr (0.000, 0.000, 0.000)
La (0.250, 0.250, 0.250)
La (0.750, 0.750, 0.750)
Ni (0.500, 0.500, 0.500)

Properties
The density of states at the Fermi level comes out at 1.59 states/eV per atom. The energy of formation is 0.36 eV/atom. The space-group type is Fm-3m (225). For the total magnetic moment, the calculation gives 0.111 μB per atom. As for the total energy: -15.865 eV/cell.



6.
This record from the Alexandria database describes an optimized crystal structure of BaTcIr. The functional is PBE.

Cell: 4.791 4.791 4.791 Å, 60.00 60.00 60.00°
Sites, in units of the cell vectors:
Ba (0.000, 0.000, 0.000)
Tc (0.750, 0.750, 0.750)
Ir (0.250, 0.250, 0.250)

Properties
The density of states at the Fermi level comes out at 0.93 states/eV per atom. The energy of formation is 1.96 eV/atom. The space-group type is F-43m (216). For the total magnetic moment, the calculation gives 1.153 μB per atom. As for the total energy: -15.282 eV/cell.